The following is a DFT calculation (PBE) of a relaxed BeCdSe2 crystal.

Calculated values
ΔE to the lowest computed polymorph = 0.451 eV per atom
Fermi-level density of states = 1.9 states/eV per cell
crystal system = orthorhombic
spin magnetization = 0.00 μB per cell
electronic total energy = -3.1378 eV/atom

Unit cell a=13.0606 b=13.0606 c=4.1914 alpha=90.00 beta=90.00 gamma=164.07
Sites, in units of the cell vectors:
Se 0.1194 0.8806 0.7500
Se 0.2518 0.7482 0.2500
Se 0.8806 0.1194 0.2500
Cd 0.0395 0.9605 0.2500
Be 0.3364 0.6636 0.2500
Be 0.6636 0.3364 0.7500
Cd 0.9605 0.0395 0.7500
Se 0.7482 0.2518 0.7500